Compound: AcCeRh3
Source: Alexandria
Functional: PBE-GGA
Structure: optimized geometry

Cell and atoms, written as POSCAR:
```
AcCeRh3
1.0
-2.211 2.211 5.708
2.211 -2.211 5.708
2.211 2.211 -5.708
Ac Ce Rh
1 1 3
Direct
0.000 0.000 0.000
0.670 0.670 0.000
0.305 0.805 0.500
0.460 0.460 0.000
0.805 0.305 0.500
```

Calculated volume, Å³/cell: 111.63

***

Compound: AcCeRh4
Source: Alexandria
Functional: PBE-GGA
Structure: optimized geometry

Cell and atoms, written as POSCAR:
```
AcCeRh4
1.0
0.000 3.854 3.854
3.854 0.000 3.854
3.854 3.854 0.000
Ac Ce Rh
1 1 4
Direct
0.000 0.000 0.000
0.250 0.250 0.250
0.127 0.624 0.624
0.624 0.127 0.624
0.624 0.624 0.127
0.624 0.624 0.624
```

Calculated volume, Å³/cell: 114.48

***

Compound: AcCeRh
Source: Alexandria
Functional: PBE-GGA
Structure: optimized geometry

Cell and atoms, written as POSCAR:
```
AcCeRh
1.0
4.036 0.000 0.000
0.002 4.219 0.000
0.901 0.014 10.489
Ac Ce Rh
2 2 2
Direct
0.212 0.249 0.190
0.788 0.751 0.810
0.322 0.250 0.547
0.678 0.750 0.453
0.248 0.750 0.004
0.752 0.250 0.996
```

Calculated volume, Å³/cell: 178.59
Distance to the lowest polymorph of the same formula, eV/atom: 0.424

***

Compound: AcCeRh
Source: Alexandria
Functional: PBE-GGA
Structure: optimized geometry

Cell and atoms, written as POSCAR:
```
AcCeRh
1.0
4.149 0.000 0.000
-2.075 3.593 0.000
0.000 0.000 6.550
Ac Ce Rh
1 1 1
Direct
0.000 0.000 0.000
0.333 0.667 0.494
0.667 0.333 0.276
```

Calculated volume, Å³/cell: 97.65
Distance to the lowest polymorph of the same formula, eV/atom: 0.051

***

Compound: AcCeRh
Source: Alexandria
Functional: PBE-GGA
Structure: optimized geometry

Cell and atoms, written as POSCAR:
```
AcCeRh
1.0
7.140 0.000 0.000
0.000 7.050 0.000
-5.182 0.000 7.537
Ac Ce Rh
4 4 4
Direct
0.197 0.081 0.420
0.197 0.419 0.920
0.803 0.581 0.080
0.803 0.919 0.580
0.328 0.574 0.578
0.328 0.926 0.078
0.672 0.074 0.922
0.672 0.426 0.422
0.317 0.694 0.297
0.317 0.806 0.797
0.683 0.194 0.203
0.683 0.306 0.703
```

Calculated volume, Å³/cell: 379.37
Distance to the lowest polymorph of the same formula, eV/atom: 0.052

***

Compound: Ac2Ce4Rh9
Source: Alexandria
Functional: PBE-GGA
Structure: optimized geometry

Cell and atoms, written as POSCAR:
```
Ac2Ce4Rh9
1.0
4.604 0.000 0.000
-2.302 3.987 0.000
0.000 0.000 17.890
Ac Ce Rh
2 4 9
Direct
0.333 0.667 0.251
0.667 0.333 0.749
0.333 0.667 0.590
0.333 0.667 0.913
0.667 0.333 0.087
0.667 0.333 0.410
0.000 0.000 0.000
0.000 0.000 0.160
0.000 0.000 0.345
0.000 0.000 0.655
0.000 0.000 0.840
0.333 0.667 0.078
0.333 0.667 0.428
0.667 0.333 0.572
0.667 0.333 0.922
```

Calculated volume, Å³/cell: 328.34

***

The evaluated ΔH_f (0 K) for the records listed, in turn: -566.7 -628.2 -55.2 -428.7 -427.6 -614.5 meV per atom.